Here is an optimized crystal structure of Ac3La2Pt2 from Alexandria. Energies are from PBE.

a b c (Å): 4.112 6.911 9.753
angles (deg): 106.99 102.16 107.35
Sites, in units of the cell vectors:
Ac: 0.500 0.000 0.000
Ac: 0.196 0.820 0.574
Ac: 0.804 0.180 0.426
La: 0.635 0.463 0.807
La: 0.365 0.537 0.193
Pt: 0.016 0.849 0.184
Pt: 0.984 0.151 0.816

D(E_F) ... 8.04 states/eV/cell
ΔH_f (0 K) ... -680 meV/atom
Space group ... P-1, No. 2
Calculated total energy ... -0.4098 Ry per atom